## Tb2CdPd8 (PBE-GGA)

Data for a geometry-optimized Tb2CdPd8 structure.

Geometry as POSCAR:
```
Tb2CdPd8
1.0
4.231 0.000 0.000
0.000 6.589 0.234
-2.115 -2.470 6.915
Tb Cd Pd
2 1 8
Direct
0.784 0.334 0.569 Tb
0.216 0.666 0.431 Tb
0.500 0.000 0.000 Cd
0.409 0.553 0.819 Pd
0.672 0.902 0.343 Pd
0.857 0.819 0.715 Pd
0.965 0.277 0.929 Pd
0.143 0.181 0.285 Pd
0.328 0.098 0.657 Pd
0.591 0.447 0.181 Pd
0.035 0.723 0.071 Pd
```

DFT formation energy (eV per atom): -0.574
Crystal system: monoclinic